No. 1
Material: HoCdAu
Method: DFT, PBE
State: relaxed

The structure belongs to space group Fddd (No. 70, origin choice 2); the cell edges are 9.435, 11.299 and 12.883 Å and the angles 90.00°, 90.00° and 90.00°. The distinct sites, in fractional coordinates, are Ho at (0.125, 0.125, 0.268), Cd at (0.000, 0.000, 0.500) and Au at (0.125, 0.321, 0.125).

The value obtained for the density of states at the Fermi level is 29.9 states/eV per cell. The formation energy comes out at -0.35 eV/atom. For the calculated total energy, the calculation gives -157.08 eV/cell.

***

No. 2
Material: Ho2Cd3Au2
Method: DFT, PBE
State: relaxed

The structure belongs to space group C2/m (No. 12); the cell edges are 10.544, 3.954 and 7.844 Å and the angles 90.00°, 94.93° and 90.00°. The distinct sites, in fractional coordinates, are Ho at (0.119, 0.000, 0.344), Cd at (0.000, 0.500, 0.000), Cd at (0.193, 0.000, 0.875) and Au at (0.101, 0.500, 0.631).

The value obtained for the density of states at the Fermi level is 5.9 states/eV per cell. As for the offset from the most stable computed form: 0.030 eV per atom. The formation energy comes out at -0.50 eV/atom. For the calculated total energy, the calculation gives -43.95 eV/cell.

***

No. 3
Material: Ho3CdAu2
Method: DFT, PBE
State: relaxed

The structure belongs to space group P4/mmm (No. 123); the cell edges are 3.641, 3.641 and 10.823 Å and the angles 90.00°, 90.00° and 90.00°. The distinct sites, in fractional coordinates, are Ho at (0.000, 0.000, 0.000), Ho at (0.000, 0.000, 0.322), Cd at (0.500, 0.500, 0.500) and Au at (0.500, 0.500, 0.167).

The value obtained for the density of states at the Fermi level is 4.0 states/eV per cell. The formation energy comes out at -0.69 eV/atom. For the calculated total energy, the calculation gives -25.32 eV/cell.

***

No. 4
Material: Ho2CdAu
Method: DFT, PBE
State: relaxed

The structure belongs to space group R-3m (No. 166, hexagonal axes); the cell edges are 3.8163, 3.8163 and 25.9168 Å and the angles 90.00°, 90.00° and 120.00°. The distinct sites, in fractional coordinates, are Ho at (0.0000, 0.0000, 0.2411), Cd at (0.0000, 0.0000, 0.0000) and Au at (0.0000, 0.0000, 0.5000).

The value obtained for the density of states at the Fermi level is 12.9 states/eV per cell. As for the offset from the most stable computed form: 0.184 eV per atom. The formation energy comes out at -0.41 eV/atom. For the calculated total energy, the calculation gives -44.99 eV/cell.

***

No. 5
Material: Ho2Cd3Au3
Method: DFT, PBE
State: relaxed

The structure belongs to space group R3m (No. 160, hexagonal axes); the cell edges are 4.9611, 4.9611 and 24.1849 Å and the angles 90.00°, 90.00° and 120.00°. The distinct sites, in fractional coordinates, are Ho at (0.0000, 0.0000, 0.0000), Ho at (0.0000, 0.0000, 0.4891), Cd at (0.0000, 0.0000, 0.2467), Cd at (0.0000, 0.0000, 0.7430), Cd at (0.0000, 0.0000, 0.8712), Au at (0.0000, 0.0000, 0.1246), Au at (0.0000, 0.0000, 0.3672) and Au at (0.0000, 0.0000, 0.6155).

The value obtained for the density of states at the Fermi level is 12.1 states/eV per cell. The formation energy comes out at -0.57 eV/atom. For the calculated total energy, the calculation gives -78.89 eV/cell.

***

No. 6
Material: HoCdAu2
Method: DFT, PBE
State: relaxed

The structure belongs to space group Fm-3m (No. 225); the cell edges are 6.961, 6.961 and 6.961 Å and the angles 90.00°, 90.00° and 90.00°. The distinct sites, in fractional coordinates, are Ho at (0.000, 0.000, 0.000), Cd at (0.000, 0.000, 0.500) and Au at (0.250, 0.250, 0.250).

The value obtained for the density of states at the Fermi level is 12.9 states/eV per cell. The formation energy comes out at -0.67 eV/atom. For the calculated total energy, the calculation gives -58.84 eV/cell.

***

No. 7
Material: HoCd3Au2
Method: DFT, PBE
State: relaxed

The structure belongs to space group C2/m (No. 12); the cell edges are 17.273, 4.362 and 7.941 Å and the angles 90.00°, 115.75° and 90.00°. The distinct sites, in fractional coordinates, are Ho at (0.115, 0.000, 0.037), Cd at (0.072, 0.000, 0.439), Cd at (0.126, 0.500, 0.721), Cd at (0.193, 0.500, 0.414), Au at (0.014, 0.500, 0.184) and Au at (0.247, 0.000, 0.865).

The value obtained for the density of states at the Fermi level is 10.2 states/eV per cell. The formation energy comes out at -0.37 eV/atom. For the calculated total energy, the calculation gives -64.35 eV/cell.

***

No. 8
Material: HoCd9Au2
Method: DFT, PBE
State: relaxed

The structure belongs to space group I4_1/amd (No. 141, origin choice 2); the cell edges are 11.868, 11.868 and 7.523 Å and the angles 90.00°, 90.00° and 90.00°. The distinct sites, in fractional coordinates, are Ho at (0.000, 0.250, 0.375), Cd at (0.000, 0.250, 0.875), Cd at (0.120, 0.052, 0.671) and Au at (0.000, 0.000, 0.000).

The value obtained for the density of states at the Fermi level is 11.7 states/eV per cell. The formation energy comes out at -0.15 eV/atom. For the calculated total energy, the calculation gives -84.59 eV/cell.

***

No. 9
Material: Ho8CdAu2
Method: DFT, PBE
State: relaxed

The structure belongs to space group C2/m (No. 12); the cell edges are 17.814, 5.103 and 7.022 Å and the angles 90.00°, 107.22° and 90.00°. The distinct sites, in fractional coordinates, are Ho at (0.032, 0.000, 0.269), Ho at (0.093, 0.500, 0.967), Ho at (0.172, 0.500, 0.471), Ho at (0.197, 0.000, 0.817), Cd at (0.000, 0.500, 0.500) and Au at (0.185, 0.000, 0.215).

The value obtained for the density of states at the Fermi level is 20.0 states/eV per cell. The formation energy comes out at -0.37 eV/atom. For the calculated total energy, the calculation gives -96.26 eV/cell.

***

No. 10
Material: Ho2Cd3Au2
Method: DFT, PBE
State: relaxed

The structure belongs to space group C2/m (No. 12); the cell edges are 9.886, 4.615 and 7.387 Å and the angles 90.00°, 108.60° and 90.00°. The distinct sites, in fractional coordinates, are Ho at (0.135, 0.000, 0.284), Cd at (0.000, 0.500, 0.500), Cd at (0.120, 0.500, 0.931) and Au at (0.171, 0.000, 0.699).

The value obtained for the density of states at the Fermi level is 9.0 states/eV per cell. As for the offset from the most stable computed form: 0.000 eV per atom. The formation energy comes out at -0.53 eV/atom. For the calculated total energy, the calculation gives -44.37 eV/cell.

***

No. 11
Material: HoCd4Au2
Method: DFT, PBE
State: relaxed

The structure belongs to space group Cmmm (No. 65); the cell edges are 4.643, 19.030 and 3.463 Å and the angles 90.00°, 90.00° and 90.00°. The distinct sites, in fractional coordinates, are Ho at (0.000, 0.000, 0.000), Cd at (0.000, 0.156, 0.500), Cd at (0.000, 0.300, 0.000) and Au at (0.000, 0.428, 0.500).

The value obtained for the density of states at the Fermi level is 6.1 states/eV per cell. As for the offset from the most stable computed form: 0.000 eV per atom. The formation energy comes out at -0.33 eV/atom. For the calculated total energy, the calculation gives -34.22 eV/cell.

***

No. 12
Material: Ho6Cd5Au
Method: DFT, PBE
State: relaxed

The structure belongs to space group P2/m (No. 10); the cell edges are 5.227, 7.406 and 8.270 Å and the angles 90.00°, 108.23° and 90.00°. The distinct sites, in fractional coordinates, are Ho at (0.000, 0.240, 0.000), Ho at (0.339, 0.246, 0.677), Cd at (0.169, 0.500, 0.339), Cd at (0.174, 0.000, 0.348), Cd at (0.500, 0.500, 0.000) and Au at (0.500, 0.000, 0.000).

The value obtained for the density of states at the Fermi level is 10.5 states/eV per cell. The formation energy comes out at -0.40 eV/atom. For the calculated total energy, the calculation gives -40.16 eV/cell.

***

No. 13
Material: HoCdAu
Method: DFT, PBE
State: relaxed

The structure belongs to space group I4mm (No. 107); the cell edges are 3.764, 3.764 and 9.535 Å and the angles 90.00°, 90.00° and 90.00°. The distinct sites, in fractional coordinates, are Ho at (0.000, 0.000, 0.000), Cd at (0.000, 0.000, 0.680) and Au at (0.000, 0.000, 0.340).

The value obtained for the density of states at the Fermi level is 1.7 states/eV per cell. The formation energy comes out at -0.54 eV/atom. For the calculated total energy, the calculation gives -20.77 eV/cell.

***

No. 14
Material: Ho3CdAu4
Method: DFT, PBE
State: relaxed

The structure belongs to space group P4/mmm (No. 123); the cell edges are 4.983, 4.983 and 7.133 Å and the angles 90.00°, 90.00° and 90.00°. The distinct sites, in fractional coordinates, are Ho at (0.000, 0.000, 0.000), Ho at (0.000, 0.000, 0.500), Ho at (0.500, 0.500, 0.000), Cd at (0.500, 0.500, 0.500) and Au at (0.000, 0.500, 0.245).

The value obtained for the density of states at the Fermi level is 4.6 states/eV per cell. The formation energy comes out at -0.75 eV/atom. For the calculated total energy, the calculation gives -33.74 eV/cell.

***

No. 15
Material: HoCd4Au2
Method: DFT, PBE
State: relaxed

The structure belongs to space group P4_2/mnm (No. 136); the cell edges are 8.552, 8.552 and 4.356 Å and the angles 90.00°, 90.00° and 90.00°. The distinct sites, in fractional coordinates, are Ho at (0.000, 0.000, 0.000), Cd at (0.108, 0.352, 0.500) and Au at (0.165, 0.835, 0.500).

The value obtained for the density of states at the Fermi level is 6.8 states/eV per cell. As for the offset from the most stable computed form: 0.005 eV per atom. The formation energy comes out at -0.33 eV/atom. For the calculated total energy, the calculation gives -34.16 eV/cell.

***

No. 16
Material: Ho3Cd2Au2
Method: DFT, PBE
State: relaxed

The structure belongs to space group Cmmm (No. 65); the cell edges are 4.064, 23.030 and 3.651 Å and the angles 90.00°, 90.00° and 90.00°. The distinct sites, in fractional coordinates, are Ho at (0.000, 0.000, 0.000), Ho at (0.000, 0.161, 0.000), Cd at (0.000, 0.423, 0.500) and Au at (0.000, 0.291, 0.500).

The value obtained for the density of states at the Fermi level is 8.1 states/eV per cell. The formation energy comes out at -0.56 eV/atom. For the calculated total energy, the calculation gives -52.10 eV/cell.

***

No. 17
Material: HoCdAu
Method: DFT, PBE
State: relaxed

The structure belongs to space group F-43m (No. 216); the cell edges are 6.764, 6.764 and 6.764 Å and the angles 90.00°, 90.00° and 90.00°. The distinct sites, in fractional coordinates, are Ho at (0.000, 0.000, 0.000), Cd at (0.000, 0.000, 0.500) and Au at (0.250, 0.250, 0.250).

The value obtained for the density of states at the Fermi level is 12.9 states/eV per cell. The formation energy comes out at -0.52 eV/atom. For the calculated total energy, the calculation gives -41.28 eV/cell.

***

No. 18
Material: Ho2CdAu
Method: DFT, PBE
State: relaxed

The structure belongs to space group P4/mmm (No. 123); the cell edges are 3.665, 3.665 and 7.250 Å and the angles 90.00°, 90.00° and 90.00°. The distinct sites, in fractional coordinates, are Ho at (0.000, 0.000, 0.237), Cd at (0.500, 0.500, 0.500) and Au at (0.500, 0.500, 0.000).

The value obtained for the density of states at the Fermi level is 3.0 states/eV per cell. As for the offset from the most stable computed form: 0.000 eV per atom. The formation energy comes out at -0.60 eV/atom. For the calculated total energy, the calculation gives -15.73 eV/cell.

***

No. 19
Material: HoCd2Au2
Method: DFT, PBE
State: relaxed

The structure belongs to space group C2/c (No. 15); the cell edges are 9.350, 6.666 and 7.678 Å and the angles 90.00°, 112.47° and 90.00°. The distinct sites, in fractional coordinates, are Ho at (0.000, 0.089, 0.250), Cd at (0.128, 0.399, 0.957) and Au at (0.181, 0.211, 0.644).

The value obtained for the density of states at the Fermi level is 7.7 states/eV per cell. As for the offset from the most stable computed form: 0.000 eV per atom. The formation energy comes out at -0.47 eV/atom. For the calculated total energy, the calculation gives -61.26 eV/cell.

***

No. 20
Material: HoCdAu
Method: DFT, PBE
State: relaxed

The structure belongs to space group P6_3/mmc (No. 194); the cell edges are 5.0868, 5.0868 and 6.0465 Å and the angles 90.00°, 90.00° and 120.00°. The distinct sites, in fractional coordinates, are Ho at (0.3333, 0.6667, 0.2500), Cd at (0.0000, 0.0000, 0.0000) and Au at (0.3333, 0.6667, 0.7500).

The value obtained for the density of states at the Fermi level is 4.0 states/eV per cell. The formation energy comes out at -0.65 eV/atom. For the calculated total energy, the calculation gives -21.45 eV/cell.

***

No. 21
Material: HoCd4Au5
Method: DFT, PBE
State: relaxed

The structure belongs to space group P4/mmm (No. 123); the cell edges are 3.490, 3.490 and 16.641 Å and the angles 90.00°, 90.00° and 90.00°. The distinct sites, in fractional coordinates, are Ho at (0.000, 0.000, 0.000), Cd at (0.000, 0.000, 0.208), Cd at (0.000, 0.000, 0.403), Au at (0.500, 0.500, 0.106), Au at (0.500, 0.500, 0.307) and Au at (0.500, 0.500, 0.500).

The value obtained for the density of states at the Fermi level is 3.1 states/eV per cell. The formation energy comes out at -0.34 eV/atom. For the calculated total energy, the calculation gives -28.05 eV/cell.

***

No. 22
Material: HoCdAu3
Method: DFT, PBE
State: relaxed

The structure belongs to space group P6_3/mmc (No. 194); the cell edges are 6.8863, 6.8863 and 5.4732 Å and the angles 90.00°, 90.00° and 120.00°. The distinct sites, in fractional coordinates, are Ho at (0.3333, 0.6667, 0.2500), Cd at (0.0000, 0.0000, 0.0000) and Au at (0.2006, 0.4012, 0.7500).

The value obtained for the density of states at the Fermi level is 2.6 states/eV per cell. The formation energy comes out at -0.37 eV/atom. For the calculated total energy, the calculation gives -34.35 eV/cell.

***

No. 23
Material: HoCd3Au3
Method: DFT, PBE
State: relaxed

The structure belongs to space group Pm-3n (No. 223); the cell edges are 7.493, 7.493 and 7.493 Å and the angles 90.00°, 90.00° and 90.00°. The distinct sites, in fractional coordinates, are Ho at (0.000, 0.000, 0.000), Cd at (0.000, 0.250, 0.500) and Au at (0.000, 0.500, 0.250).

The value obtained for the density of states at the Fermi level is 8.7 states/eV per cell. As for the offset from the most stable computed form: 0.691 eV per atom. The formation energy comes out at 0.31 eV/atom. For the calculated total energy, the calculation gives -30.01 eV/cell.